Nd4Sb6Rh7: optimized geometry, PBE.

The total energy comes out at -6.462 eV/atom. For the total magnetization, the calculation gives 0.0 μB per cell. The calculation puts the theoretical density at 9.47 g/cm3.

Cell: 7.730 7.730 7.730 Å, 109.47 109.47 109.47°
Atoms (fractional coordinates):
Nd (0.500, 0.000, 0.000)
Nd (0.500, 0.500, 0.500)
Nd (0.000, 0.500, 0.000)
Nd (0.000, 0.000, 0.500)
Sb (0.680, 0.000, 0.680)
Sb (0.680, 0.680, 0.000)
Sb (0.000, 0.320, 0.320)
Sb (0.320, 0.000, 0.320)
Sb (0.320, 0.320, 0.000)
Sb (0.000, 0.680, 0.680)
Rh (0.750, 0.500, 0.250)
Rh (0.250, 0.750, 0.500)
Rh (0.500, 0.750, 0.250)
Rh (0.750, 0.250, 0.500)
Rh (0.250, 0.500, 0.750)
Rh (0.500, 0.250, 0.750)
Rh (0.000, 0.000, 0.000)